Below is an optimized crystal structure of AlGa2Ag5, with properties calculated at the PBE level.

abc: 5.7947 11.1894 4.2757
angles: 90.00 90.00 90.00
Element x y z (fractional)
Al 0.0000 0.0000 0.0000
Al 0.5000 0.5000 0.0000
Ga 0.2112 0.3671 0.5000
Ga 0.2888 0.8671 0.5000
Ga 0.7112 0.1329 0.5000
Ga 0.7888 0.6329 0.5000
Ag 0.0000 0.5000 0.0000
Ag 0.0446 0.7579 0.0000
Ag 0.2138 0.1146 0.5000
Ag 0.2862 0.6146 0.5000
Ag 0.4554 0.2579 0.0000
Ag 0.5000 0.0000 0.0000
Ag 0.5446 0.7421 0.0000
Ag 0.7138 0.3854 0.5000
Ag 0.7862 0.8854 0.5000
Ag 0.9554 0.2421 0.0000

## Properties
The energy above the most stable polymorph in this dataset comes out at 0.0000 eV/atom. The crystal system is orthorhombic. The value obtained for the density of states at the Fermi level is 5.00 states/eV per cell. The calculation puts the total energy at -48.0 eV per cell.